(1)
The following is a DFT calculation (PBEsol) of a relaxed structure of NiHgRu2. Values from VASP.

Values from the calculation:
mass density = 13.45 g/cm3
formation energy = 1.724 eV per formula unit
E = -6.336 eV/atom
N(E_F) = 4.1 states/eV/f.u.
space group = No. 123

Quantum ESPRESSO input file:
```
&SYSTEM
  ibrav = 0, nat = 4, ntyp = 3
/
ATOMIC_SPECIES
Hg 200.59 Hg.upf
Ru 101.07 Ru.upf
Ni 58.69 Ni.upf
CELL_PARAMETERS angstrom
2.9029 0.0000 0.0000
0.0000 2.9029 0.0000
0.0000 0.0000 6.7581
ATOMIC_POSITIONS angstrom
Hg 1.4514 1.4514 0.0000
Ru 0.0000 0.0000 4.7316
Ru 0.0000 0.0000 2.0266
Ni 1.4514 1.4514 3.3791
```

(2)
The following is a DFT calculation (PBEsol) of a relaxed structure of Ni2HgRu. Values from VASP.

Values from the calculation:
mass density = 13.03 g/cm3
formation energy = 1.357 eV per formula unit
E = -5.424 eV/atom
N(E_F) = 6.0 states/eV/f.u.
space group = No. 65

Quantum ESPRESSO input file:
```
&SYSTEM
  ibrav = 0, nat = 4, ntyp = 3
/
ATOMIC_SPECIES
Ni 58.69 Ni.upf
Hg 200.59 Hg.upf
Ru 101.07 Ru.upf
CELL_PARAMETERS angstrom
-2.5352 0.7325 -0.4852
-0.7655 -3.9953 -2.0320
-1.0220 -0.6322 4.3856
ATOMIC_POSITIONS angstrom
Ni -0.5110 -0.3161 2.1928
Hg -2.1614 -1.9475 0.9342
Ru -1.2676 0.3663 -0.2426
Ni -0.3828 -1.9977 -1.0160
```

(3)
The following is a DFT calculation (PBEsol) of a relaxed structure of NiHgRu. Values from VASP.

Values from the calculation:
mass density = 13.66 g/cm3
formation energy = 1.202 eV per formula unit
ΔE to the lowest computed polymorph = 0.000 eV/atom
E = -5.232 eV/atom
N(E_F) = 2.9 states/eV/f.u.
space group = No. 156

Quantum ESPRESSO input file:
```
&SYSTEM
  ibrav = 0, nat = 3, ntyp = 3
/
ATOMIC_SPECIES
Ni 58.69 Ni.upf
Ru 101.07 Ru.upf
Hg 200.59 Hg.upf
CELL_PARAMETERS angstrom
2.7844 0.0000 0.0000
-1.3922 2.4113 0.0000
0.0000 0.0000 6.5225
ATOMIC_POSITIONS angstrom
Ni 1.3922 0.8038 4.2286
Ru 0.0000 1.6076 2.3609
Hg 0.0000 0.0000 6.4555
```

The highest E belongs to which entry? NiHgRu

Repeat the first record exactly.
The following is a DFT calculation (PBEsol) of a relaxed structure of NiHgRu2. Values from VASP.

Values from the calculation:
mass density = 13.45 g/cm3
formation energy = 1.724 eV per formula unit
E = -6.336 eV/atom
N(E_F) = 4.1 states/eV/f.u.
space group = No. 123

Quantum ESPRESSO input file:
```
&SYSTEM
  ibrav = 0, nat = 4, ntyp = 3
/
ATOMIC_SPECIES
Hg 200.59 Hg.upf
Ru 101.07 Ru.upf
Ni 58.69 Ni.upf
CELL_PARAMETERS angstrom
2.9029 0.0000 0.0000
0.0000 2.9029 0.0000
0.0000 0.0000 6.7581
ATOMIC_POSITIONS angstrom
Hg 1.4514 1.4514 0.0000
Ru 0.0000 0.0000 4.7316
Ru 0.0000 0.0000 2.0266
Ni 1.4514 1.4514 3.3791
```

Repeat the second record exactly.
The following is a DFT calculation (PBEsol) of a relaxed structure of Ni2HgRu. Values from VASP.

Values from the calculation:
mass density = 13.03 g/cm3
formation energy = 1.357 eV per formula unit
E = -5.424 eV/atom
N(E_F) = 6.0 states/eV/f.u.
space group = No. 65

Quantum ESPRESSO input file:
```
&SYSTEM
  ibrav = 0, nat = 4, ntyp = 3
/
ATOMIC_SPECIES
Ni 58.69 Ni.upf
Hg 200.59 Hg.upf
Ru 101.07 Ru.upf
CELL_PARAMETERS angstrom
-2.5352 0.7325 -0.4852
-0.7655 -3.9953 -2.0320
-1.0220 -0.6322 4.3856
ATOMIC_POSITIONS angstrom
Ni -0.5110 -0.3161 2.1928
Hg -2.1614 -1.9475 0.9342
Ru -1.2676 0.3663 -0.2426
Ni -0.3828 -1.9977 -1.0160
```

Repeat the second record exactly.
The following is a DFT calculation (PBEsol) of a relaxed structure of Ni2HgRu. Values from VASP.

Values from the calculation:
mass density = 13.03 g/cm3
formation energy = 1.357 eV per formula unit
E = -5.424 eV/atom
N(E_F) = 6.0 states/eV/f.u.
space group = No. 65

Quantum ESPRESSO input file:
```
&SYSTEM
  ibrav = 0, nat = 4, ntyp = 3
/
ATOMIC_SPECIES
Ni 58.69 Ni.upf
Hg 200.59 Hg.upf
Ru 101.07 Ru.upf
CELL_PARAMETERS angstrom
-2.5352 0.7325 -0.4852
-0.7655 -3.9953 -2.0320
-1.0220 -0.6322 4.3856
ATOMIC_POSITIONS angstrom
Ni -0.5110 -0.3161 2.1928
Hg -2.1614 -1.9475 0.9342
Ru -1.2676 0.3663 -0.2426
Ni -0.3828 -1.9977 -1.0160
```